Record 1
# PBE LaCeHgAu, relaxed
data_LaCeHgAu
_cell_length_a 7.616
_cell_length_b 7.616
_cell_length_c 7.616
_cell_angle_alpha 90.00
_cell_angle_beta 90.00
_cell_angle_gamma 90.00
_space_group_name_H-M_alt 'F -4 3 m'
_space_group_IT_number 216
_space_group_name_Hall 'F -4 2 3'
loop_
_atom_site_label
_atom_site_type_symbol
_atom_site_fract_x
_atom_site_fract_y
_atom_site_fract_z
La1 La 0.000 0.000 0.000
Ce1 Ce 0.000 0.000 0.500
Hg1 Hg 0.250 0.250 0.250
Au1 Au 0.250 0.250 0.750
# Crystal system: cubic
# Total energy, eV/atom: -4.122
# Distance to the lowest polymorph of the same formula, meV/atom: 25
# Formation enthalpy at 0 K, kJ per mole of atoms: -49.36

=====

Record 2
# PBE YPu3Pb4, relaxed
data_YPu3Pb4
_cell_length_a 4.528
_cell_length_b 4.998
_cell_length_c 10.006
_cell_angle_alpha 90.00
_cell_angle_beta 90.00
_cell_angle_gamma 90.00
_space_group_name_H-M_alt 'P m m m'
_space_group_IT_number 47
loop_
_space_group_symop_operation_xyz
'x,y,z'
'-x,-y,-z'
'-x,-y,z'
'x,y,-z'
'x,-y,-z'
'-x,y,z'
'-x,y,-z'
'x,-y,z'
loop_
_atom_site_label
_atom_site_type_symbol
_atom_site_fract_x
_atom_site_fract_y
_atom_site_fract_z
Y1 Y 0.000 0.000 0.000
Pu1 Pu 0.000 0.000 0.500
Pu2 Pu 0.000 0.500 0.253
Pb1 Pb 0.500 0.000 0.249
Pb2 Pb 0.500 0.500 0.000
Pb3 Pb 0.500 0.500 0.500
# Crystal system: orthorhombic
# Total energy, eV/atom: -8.212
# Formation enthalpy at 0 K, kJ per mole of atoms: -16.95

=====

Record 3
# PBE SrOsRu, relaxed
data_SrOsRu
_cell_length_a 4.442
_cell_length_b 11.168
_cell_length_c 5.211
_cell_angle_alpha 90.00
_cell_angle_beta 90.00
_cell_angle_gamma 90.00
_space_group_name_H-M_alt 'C m c m'
_space_group_IT_number 63
_space_group_name_Hall '-C 2c 2'
loop_
_atom_site_label
_atom_site_type_symbol
_atom_site_fract_x
_atom_site_fract_y
_atom_site_fract_z
Sr1 Sr 0.000 0.222 0.250
Os1 Os 0.000 0.500 0.000
Ru1 Ru 0.000 0.039 0.750
# Crystal system: orthorhombic
# Total energy, eV/atom: -7.140
# Distance to the lowest polymorph of the same formula, meV/atom: 0
# Formation enthalpy at 0 K, kJ per mole of atoms: 24.69

=====

Record 4
# PBE Nd2GdAl, relaxed
data_Nd2GdAl
_cell_length_a 7.739
_cell_length_b 7.739
_cell_length_c 7.739
_cell_angle_alpha 90.00
_cell_angle_beta 90.00
_cell_angle_gamma 90.00
_space_group_name_H-M_alt 'F m -3 m'
_space_group_IT_number 225
_space_group_name_Hall '-F 4 2 3'
loop_
_atom_site_label
_atom_site_type_symbol
_atom_site_fract_x
_atom_site_fract_y
_atom_site_fract_z
Nd1 Nd 0.250 0.250 0.250
Gd1 Gd 0.000 0.000 0.000
Al1 Al 0.000 0.000 0.500
# Crystal system: cubic
# Total energy, eV/atom: -6.912
# Distance to the lowest polymorph of the same formula, meV/atom: 109
# Formation enthalpy at 0 K, kJ per mole of atoms: -6.97

=====

Record 5
# PBE Ca2Ce3Hg6, relaxed
data_Ca2Ce3Hg6
_cell_length_a 5.610
_cell_length_b 5.610
_cell_length_c 24.707
_cell_angle_alpha 90.00
_cell_angle_beta 90.00
_cell_angle_gamma 90.00
_space_group_name_H-M_alt 'I 4/m m m'
_space_group_IT_number 139
_space_group_name_Hall '-I 4 2'
loop_
_atom_site_label
_atom_site_type_symbol
_atom_site_fract_x
_atom_site_fract_y
_atom_site_fract_z
Ca1 Ca 0.000 0.000 0.112
Ce1 Ce 0.000 0.000 0.371
Ce2 Ce 0.000 0.000 0.500
Hg1 Hg 0.000 0.000 0.240
Hg2 Hg 0.000 0.500 0.064
# Crystal system: tetragonal
# Total energy, eV/atom: -2.197
# Formation enthalpy at 0 K, kJ per mole of atoms: -4.79

=====

Record 6
# PBE LaPm2P2N6, relaxed
data_LaPm2P2N6
_cell_length_a 9.785
_cell_length_b 5.594
_cell_length_c 6.749
_cell_angle_alpha 90.00
_cell_angle_beta 119.37
_cell_angle_gamma 90.00
_space_group_name_H-M_alt 'C 1 2/m 1'
_space_group_IT_number 12
loop_
_space_group_symop_operation_xyz
'x,y,z'
'-x,-y,-z'
'-x,y,-z'
'x,-y,z'
'x+1/2,y+1/2,z'
'-x+1/2,-y+1/2,-z'
'-x+1/2,y+1/2,-z'
'x+1/2,-y+1/2,z'
loop_
_atom_site_label
_atom_site_type_symbol
_atom_site_fract_x
_atom_site_fract_y
_atom_site_fract_z
La1 La 0.000 0.000 0.000
Pm1 Pm 0.204 0.000 0.673
P1 P 0.035 0.500 0.756
N1 N 0.063 0.258 0.340
N2 N 0.221 0.500 0.882
# Crystal system: monoclinic
# Total energy, eV/atom: -7.807
# Raw formation energy, eV per atom: -0.97

=====

Copy entry 1 word for word.
# PBE LaCeHgAu, relaxed
data_LaCeHgAu
_cell_length_a 7.616
_cell_length_b 7.616
_cell_length_c 7.616
_cell_angle_alpha 90.00
_cell_angle_beta 90.00
_cell_angle_gamma 90.00
_space_group_name_H-M_alt 'F -4 3 m'
_space_group_IT_number 216
_space_group_name_Hall 'F -4 2 3'
loop_
_atom_site_label
_atom_site_type_symbol
_atom_site_fract_x
_atom_site_fract_y
_atom_site_fract_z
La1 La 0.000 0.000 0.000
Ce1 Ce 0.000 0.000 0.500
Hg1 Hg 0.250 0.250 0.250
Au1 Au 0.250 0.250 0.750
# Crystal system: cubic
# Total energy, eV/atom: -4.122
# Distance to the lowest polymorph of the same formula, meV/atom: 25
# Formation enthalpy at 0 K, kJ per mole of atoms: -49.36

=====

Among the records above, which one has the highest total energy? Ca2Ce3Hg6

=====

What is the total energy in the fifth record? -2.197 eV/atom

=====

What is the formula in the first record? LaCeHgAu